{
  "formula": "PrNd2Hg3PdAu2",
  "functional": "PBE-GGA",
  "state": "relaxed",
  "lattice": [[3.9405, 0.0000, 0.0000], [0.0000, 6.9303, 3.9976], [0.0000, -6.9303, 3.9976]],
  "species": ["Au", "Au", "Hg", "Hg", "Hg", "Nd", "Nd", "Pd", "Pr"],
  "frac_coords": [[0.5000, 0.6669, 0.3324], [0.5000, 0.3324, 0.6669], [0.5000, 0.7402, 0.0003], [0.5000, 0.2598, 0.2598], [0.5000, 0.0003, 0.7402], [0.0000, 0.3959, 0.0001], [0.0000, 0.0001, 0.3959], [0.0000, 0.0005, 0.0005], [0.0000, 0.6038, 0.6038]],
  "energy_ev_per_cell": -32.9
}

{
  "formula": "Tb2NdHg3PdAu2",
  "functional": "PBE-GGA",
  "state": "relaxed",
  "lattice": [[-1.1108, -0.9627, 3.5411], [-4.7583, -5.6125, -3.0184], [7.5334, -1.6992, 1.9011]],
  "species": ["Au", "Au", "Hg", "Hg", "Hg", "Nd", "Pd", "Tb", "Tb"],
  "frac_coords": [[0.5000, 0.6680, 0.3284], [0.5000, 0.3284, 0.6680], [0.5000, 0.7370, 0.0014], [0.5000, 0.2632, 0.2632], [0.5000, 0.0014, 0.7370], [0.0000, 0.6045, 0.6045], [0.0000, 0.0019, 0.0019], [0.0000, 0.3948, 0.0007], [0.0000, 0.0007, 0.3948]],
  "energy_ev_per_cell": -32.7
}

{
  "formula": "PrNdHg2Au4",
  "functional": "PBE-GGA",
  "state": "relaxed",
  "lattice": [[5.0431, 0.0000, 0.0000], [0.0000, 5.0431, 0.0000], [0.0000, 0.0000, 7.1392]],
  "species": ["Au", "Au", "Au", "Au", "Hg", "Hg", "Nd", "Pr"],
  "frac_coords": [[0.5000, 0.0000, 0.2492], [0.0000, 0.5000, 0.2492], [0.5000, 0.0000, 0.7508], [0.0000, 0.5000, 0.7508], [0.5000, 0.5000, 0.0000], [0.0000, 0.0000, 0.5000], [0.0000, 0.0000, 0.0000], [0.5000, 0.5000, 0.5000]],
  "energy_ev_per_cell": -27.9
}

{
  "formula": "PrNd2Hg3PtAu2",
  "functional": "PBE-GGA",
  "state": "relaxed",
  "lattice": [[3.9647, 0.0000, 0.0000], [0.0000, 6.8740, 3.9661], [0.0000, -6.8740, 3.9661]],
  "species": ["Au", "Au", "Hg", "Hg", "Hg", "Nd", "Nd", "Pr", "Pt"],
  "frac_coords": [[0.5000, 0.6670, 0.3321], [0.5000, 0.3321, 0.6670], [0.5000, 0.7385, 0.0003], [0.5000, 0.2616, 0.2616], [0.5000, 0.0003, 0.7385], [0.0000, 0.3902, 0.0002], [0.0000, 0.0002, 0.3902], [0.0000, 0.6091, 0.6091], [0.0000, 0.0009, 0.0009]],
  "energy_ev_per_cell": -33.9
}

{
  "formula": "Pr2NdHg3PtAu2",
  "functional": "PBE-GGA",
  "state": "relaxed",
  "lattice": [[-2.8877, 2.7234, 0.3935], [-1.2780, -2.4312, 7.4467], [5.2517, 5.7758, -1.4343]],
  "species": ["Au", "Au", "Hg", "Hg", "Hg", "Nd", "Pr", "Pr", "Pt"],
  "frac_coords": [[0.5000, 0.6663, 0.3344], [0.5000, 0.3344, 0.6663], [0.5000, 0.2606, 0.2606], [0.5000, 0.9997, 0.7394], [0.5000, 0.7394, 0.9997], [0.0000, 0.6100, 0.6100], [0.0000, 0.9998, 0.3907], [0.0000, 0.3907, 0.9998], [0.0000, 0.9991, 0.9991]],
  "energy_ev_per_cell": -33.9
}

{
  "formula": "Nd3Hg3Pt2Au",
  "functional": "PBE-GGA",
  "state": "relaxed",
  "lattice": [[-2.1393, 2.0862, 7.3601], [-4.7851, -4.5872, -4.3772], [1.7551, -3.1769, 1.4106]],
  "species": ["Au", "Hg", "Hg", "Hg", "Nd", "Nd", "Nd", "Pt", "Pt"],
  "frac_coords": [[0.0000, 0.0000, 0.0000], [0.7305, 0.0000, 0.5000], [0.2695, 0.2695, 0.5000], [0.0000, 0.7305, 0.5000], [0.4045, 0.0000, 0.0000], [0.0000, 0.4045, 0.0000], [0.5955, 0.5955, 0.0000], [0.6667, 0.3333, 0.5000], [0.3333, 0.6667, 0.5000]],
  "energy_ev_per_cell": -37.6
}

{
  "formula": "TbNdHg2Au4",
  "functional": "PBE-GGA",
  "state": "relaxed",
  "lattice": [[-4.8172, 1.2940, -0.0212], [-0.4322, -1.5313, 4.7275], [1.7232, 6.4520, 2.2474]],
  "species": ["Au", "Au", "Au", "Au", "Hg", "Hg", "Nd", "Tb"],
  "frac_coords": [[0.5000, 0.0000, 0.2591], [0.0000, 0.5000, 0.2591], [0.5000, 0.0000, 0.7409], [0.0000, 0.5000, 0.7409], [0.5000, 0.5000, 0.0000], [0.0000, 0.0000, 0.5000], [0.0000, 0.0000, 0.0000], [0.5000, 0.5000, 0.5000]],
  "energy_ev_per_cell": -27.8
}

{
  "formula": "NiHgPbAu",
  "functional": "PBE-GGA",
  "state": "relaxed",
  "lattice": [[0.0000, 3.4294, 3.4294], [3.4294, 0.0000, 3.4294], [3.4294, 3.4294, 0.0000]],
  "species": ["Au", "Hg", "Ni", "Pb"],
  "frac_coords": [[0.5000, 0.5000, 0.5000], [0.2500, 0.2500, 0.2500], [0.7500, 0.7500, 0.7500], [0.0000, 0.0000, 0.0000]],
  "energy_ev_per_cell": -11.7
}

{
  "formula": "NiSnHgAu",
  "functional": "PBE-GGA",
  "state": "relaxed",
  "lattice": [[4.0538, -2.3367, 0.8886], [1.5564, -0.4503, 4.4786], [-0.1224, -4.2492, 2.1476]],
  "species": ["Au", "Hg", "Ni", "Sn"],
  "frac_coords": [[0.5000, 0.5000, 0.5000], [0.2500, 0.2500, 0.2500], [0.7500, 0.7500, 0.7500], [0.0000, 0.0000, 0.0000]],
  "energy_ev_per_cell": -12.3
}

{
  "formula": "TlNiHgAu",
  "functional": "PBE-GGA",
  "state": "relaxed",
  "lattice": [[-2.3234, -4.1376, -0.6051], [-3.4564, -1.2710, 3.0532], [-4.5679, 0.0074, -1.4206]],
  "species": ["Au", "Hg", "Ni", "Tl"],
  "frac_coords": [[0.5000, 0.5000, 0.5000], [0.2500, 0.2500, 0.2500], [0.7500, 0.7500, 0.7500], [0.0000, 0.0000, 0.0000]],
  "energy_ev_per_cell": -10.2
}

{
  "formula": "ZnNiHgAu",
  "functional": "PBE-GGA",
  "state": "relaxed",
  "lattice": [[0.0000, 3.1946, 3.1946], [3.1946, 0.0000, 3.1946], [3.1946, 3.1946, 0.0000]],
  "species": ["Au", "Hg", "Ni", "Zn"],
  "frac_coords": [[0.5000, 0.5000, 0.5000], [0.2500, 0.2500, 0.2500], [0.7500, 0.7500, 0.7500], [0.0000, 0.0000, 0.0000]],
  "energy_ev_per_cell": -9.9
}

{
  "formula": "NpHgAu",
  "functional": "PBE-GGA",
  "state": "relaxed",
  "lattice": [[0.0000, 3.4573, 3.4573], [3.4573, 0.0000, 3.4573], [3.4573, 3.4573, 0.0000]],
  "species": ["Au", "Hg", "Np"],
  "frac_coords": [[0.5000, 0.5000, 0.5000], [0.0000, 0.0000, 0.0000], [0.2500, 0.2500, 0.2500]],
  "polymorph_energy_ev_per_fu": 0.177
}

{
  "formula": "NpHgAu",
  "functional": "PBE-GGA",
  "state": "relaxed",
  "lattice": [[0.0000, 3.4546, 3.4546], [3.4546, 0.0000, 3.4546], [3.4546, 3.4546, 0.0000]],
  "species": ["Au", "Hg", "Np"],
  "frac_coords": [[0.5000, 0.5000, 0.5000], [0.2500, 0.2500, 0.2500], [0.0000, 0.0000, 0.0000]],
  "polymorph_energy_ev_per_fu": 0.000
}

{
  "formula": "Hg2Au2O5",
  "functional": "PBE-GGA",
  "state": "relaxed",
  "lattice": [[9.4387, 0.0000, 0.0000], [0.0000, 3.7000, 0.0000], [0.0000, 0.0000, 3.7000]],
  "species": ["Au", "Au", "Hg", "Hg", "O", "O", "O", "O", "O"],
  "frac_coords": [[0.0000, 0.0000, 0.0000], [0.5000, 0.0000, 0.0000], [0.2701, 0.5000, 0.5000], [0.7299, 0.5000, 0.5000], [0.1282, 0.5000, 0.0000], [0.8718, 0.5000, 0.0000], [0.1282, 0.0000, 0.5000], [0.8718, 0.0000, 0.5000], [0.5000, 0.5000, 0.5000]],
  "polymorph_energy_ev_per_fu": 1.813
}

{
  "formula": "Hg2Au2O5",
  "functional": "PBE-GGA",
  "state": "relaxed",
  "lattice": [[-2.4767, 1.8534, 8.4074], [1.9631, -3.1140, 1.2648], [3.1841, 2.1920, 0.4548]],
  "species": ["Au", "Au", "Hg", "Hg", "O", "O", "O", "O", "O"],
  "frac_coords": [[0.2326, 0.5000, 0.5000], [0.7674, 0.5000, 0.5000], [0.0000, 0.0000, 0.0000], [0.5000, 0.0000, 0.0000], [0.1703, 0.5000, 0.0000], [0.8297, 0.5000, 0.0000], [0.1703, 0.0000, 0.5000], [0.8297, 0.0000, 0.5000], [0.5000, 0.5000, 0.5000]],
  "polymorph_energy_ev_per_fu": 0.000
}

{
  "formula": "HgPAuO",
  "functional": "PBE-GGA",
  "state": "relaxed",
  "lattice": [[4.4786, 0.0000, 0.0000], [0.0000, 4.4786, 0.0000], [0.0000, 0.0000, 8.1130]],
  "species": ["Au", "Au", "Hg", "Hg", "O", "O", "P", "P"],
  "frac_coords": [[0.0000, 0.0000, 0.5000], [0.5000, 0.5000, 0.5000], [0.0000, 0.5000, 0.0484], [0.5000, 0.0000, 0.9516], [0.0000, 0.0000, 0.0000], [0.5000, 0.5000, 0.0000], [0.5000, 0.0000, 0.3678], [0.0000, 0.5000, 0.6322]],
  "polymorph_energy_ev_per_fu": 0.382
}

{
  "formula": "HgPAuO",
  "functional": "PBE-GGA",
  "state": "relaxed",
  "lattice": [[3.7246, 0.0000, 0.0000], [0.0000, 7.4398, 0.0000], [0.0000, 0.0000, 5.4827]],
  "species": ["Au", "Au", "Hg", "Hg", "O", "O", "P", "P"],
  "frac_coords": [[0.0000, 0.6915, 0.4449], [0.0000, 0.3085, 0.9449], [0.5000, 0.1661, 0.4906], [0.5000, 0.8339, 0.9906], [0.5000, 0.8763, 0.4456], [0.5000, 0.1237, 0.9456], [0.0000, 0.3874, 0.3729], [0.0000, 0.6126, 0.8729]],
  "polymorph_energy_ev_per_fu": 0.203
}

{
  "formula": "HgPAuO",
  "functional": "PBE-GGA",
  "state": "relaxed",
  "lattice": [[3.2083, 0.0000, 0.0000], [0.0000, 7.0950, 0.0000], [0.0000, 0.0000, 6.4769]],
  "species": ["Au", "Au", "Hg", "Hg", "O", "O", "P", "P"],
  "frac_coords": [[0.5000, 0.2285, 0.0618], [0.5000, 0.7715, 0.5618], [0.0000, 0.6851, 0.0454], [0.0000, 0.3149, 0.5454], [0.5000, 0.4131, 0.3106], [0.5000, 0.5869, 0.8106], [0.0000, 0.9084, 0.3363], [0.0000, 0.0916, 0.8363]],
  "polymorph_energy_ev_per_fu": 0.000
}

{
  "formula": "HgPAuO",
  "functional": "PBE-GGA",
  "state": "relaxed",
  "lattice": [[4.3460, 0.0000, 0.0000], [0.0000, 4.3460, 0.0000], [0.0000, 0.0000, 9.0810]],
  "species": ["Au", "Au", "Hg", "Hg", "O", "O", "P", "P"],
  "frac_coords": [[0.0000, 0.5000, 0.0724], [0.5000, 0.0000, 0.9276], [0.0000, 0.0000, 0.5000], [0.5000, 0.5000, 0.5000], [0.0000, 0.0000, 0.0000], [0.5000, 0.5000, 0.0000], [0.0000, 0.5000, 0.3307], [0.5000, 0.0000, 0.6693]],
  "polymorph_energy_ev_per_fu": 1.164
}

{
  "formula": "Pa2Hg3Au3O12",
  "functional": "PBE-GGA",
  "state": "relaxed",
  "lattice": [[6.9425, 6.9425, 6.9425], [-6.9425, 6.9425, -6.9425], [-6.9425, -6.9425, 6.9425]],
  "species": ["Au", "Au", "Au", "Au", "Au", "Au", "Au", "Au", "Au", "Au", "Au", "Au", "Hg", "Hg", "Hg", "Hg", "Hg", "Hg", "Hg", "Hg", "Hg", "Hg", "Hg", "Hg", "O", "O", "O", "O", "O", "O", "O", "O", "O", "O", "O", "O", "O", "O", "O", "O", "O", "O", "O", "O", "O", "O", "O", "O", "O", "O", "O", "O", "O", "O", "O", "O", "O", "O", "O", "O", "O", "O", "O", "O", "O", "O", "O", "O", "O", "O", "O", "O", "Pa", "Pa", "Pa", "Pa", "Pa", "Pa", "Pa", "Pa"],
  "frac_coords": [[0.8750, 0.7500, 0.1250], [0.7500, 0.3750, 0.1250], [0.1250, 0.3750, 0.2500], [0.6250, 0.8750, 0.2500], [0.2500, 0.1250, 0.3750], [0.6250, 0.2500, 0.3750], [0.3750, 0.7500, 0.6250], [0.7500, 0.8750, 0.6250], [0.3750, 0.1250, 0.7500], [0.8750, 0.6250, 0.7500], [0.1250, 0.2500, 0.8750], [0.2500, 0.6250, 0.8750], [0.3750, 0.2500, 0.1250], [0.2500, 0.8750, 0.1250], [0.8750, 0.1250, 0.2500], [0.3750, 0.6250, 0.2500], [0.1250, 0.7500, 0.3750], [0.7500, 0.6250, 0.3750], [0.8750, 0.2500, 0.6250], [0.2500, 0.3750, 0.6250], [0.6250, 0.3750, 0.7500], [0.1250, 0.8750, 0.7500], [0.7500, 0.1250, 0.8750], [0.6250, 0.7500, 0.8750], [0.3371, 0.3617, 0.0114], [0.1743, 0.6497, 0.0114], [0.8503, 0.8617, 0.0246], [0.6743, 0.1629, 0.0246], [0.6497, 0.9754, 0.1383], [0.9886, 0.1629, 0.1383], [0.6383, 0.4754, 0.1497], [0.0114, 0.6743, 0.1497], [0.4886, 0.1383, 0.1629], [0.1743, 0.0246, 0.1629], [0.5246, 0.6629, 0.1743], [0.1497, 0.5114, 0.1743], [0.3371, 0.4754, 0.3257], [0.4886, 0.8503, 0.3257], [0.8617, 0.5114, 0.3371], [0.9754, 0.8257, 0.3371], [0.5246, 0.3617, 0.3503], [0.3257, 0.9886, 0.3503], [0.0246, 0.3503, 0.3617], [0.8371, 0.0114, 0.3617], [0.1383, 0.1497, 0.4754], [0.8371, 0.3257, 0.4754], [0.6383, 0.6629, 0.4886], [0.3503, 0.8257, 0.4886], [0.6497, 0.1743, 0.5114], [0.3617, 0.3371, 0.5114], [0.8617, 0.8503, 0.5246], [0.1629, 0.6743, 0.5246], [0.1629, 0.9886, 0.6383], [0.9754, 0.6497, 0.6383], [0.6743, 0.0114, 0.6497], [0.4754, 0.6383, 0.6497], [0.0246, 0.1743, 0.6629], [0.1383, 0.4886, 0.6629], [0.6629, 0.5246, 0.6743], [0.5114, 0.1497, 0.6743], [0.8503, 0.4886, 0.8257], [0.4754, 0.3371, 0.8257], [0.8257, 0.9754, 0.8371], [0.5114, 0.8617, 0.8371], [0.9886, 0.3257, 0.8503], [0.3617, 0.5246, 0.8503], [0.0114, 0.8371, 0.8617], [0.3503, 0.0246, 0.8617], [0.3257, 0.8371, 0.9754], [0.1497, 0.1383, 0.9754], [0.8257, 0.3503, 0.9886], [0.6629, 0.6383, 0.9886], [0.0000, 0.0000, 0.0000], [0.5000, 0.0000, 0.0000], [0.5000, 0.5000, 0.0000], [0.0000, 0.5000, 0.0000], [0.5000, 0.0000, 0.5000], [0.0000, 0.5000, 0.5000], [0.0000, 0.0000, 0.5000], [0.5000, 0.5000, 0.5000]],
  "energy_ev_per_cell": -422.2
}